No. 1
{
  "formula": "Sc6Pb2N",
  "functional": "PBE",
  "state": "optimized geometry",
  "lattice": [[-2.5840, 2.7156, -5.2056], [-2.2096, -5.7191, -1.8867], [-7.7180, 1.4658, 4.5957]],
  "species": ["Sc", "Sc", "Sc", "Sc", "Sc", "Sc", "Sc", "Sc", "Sc", "Sc", "Sc", "Sc", "Pb", "Pb", "Pb", "Pb", "N", "N"],
  "frac_coords": [[0.2556, 0.2553, 0.9999], [0.7552, 0.7556, 0.5000], [0.7556, 0.2447, 0.4999], [0.7444, 0.7447, 0.0001], [0.2448, 0.2444, 0.5000], [0.7448, 0.2556, 0.0000], [0.5001, 0.5000, 0.2433], [0.2444, 0.7553, 0.5001], [0.2552, 0.7444, 0.0000], [0.4999, 0.5000, 0.7567], [0.9999, 0.0000, 0.2567], [0.0001, 0.0000, 0.7433], [0.4999, 0.0000, 0.2499], [0.5001, 0.0000, 0.7501], [0.9999, 0.5000, 0.7499], [0.0001, 0.5000, 0.2501], [0.5000, 0.5000, 0.0000], [0.0000, 0.0000, 0.5000]],
  "space_group": "No. 139",
  "raw_formation_energy_ev_per_atom": -0.691,
  "mass_density_g_cm3": 6.191,
  "vol_a3_per_atom": 20.81,
  "de_polymorph_ev_per_atom": 0.000
}



No. 2
{
  "formula": "K2AcAg9",
  "functional": "PBE",
  "state": "optimized geometry",
  "lattice": [[-3.7657, 4.3790, -0.4397], [-2.0688, 2.5318, 4.7812], [5.4795, 8.6721, 1.2873]],
  "species": ["Ag", "Ag", "Ag", "Ag", "Ag", "Ag", "Ag", "Ag", "Ag", "K", "K", "Ac"],
  "frac_coords": [[0.5000, 0.5000, 0.5000], [0.9166, 0.4215, 0.2403], [0.5785, 0.0834, 0.7597], [0.4215, 0.9166, 0.2403], [0.0834, 0.5785, 0.7597], [0.4215, 0.4215, 0.2403], [0.6681, 0.6681, 0.9956], [0.5785, 0.5785, 0.7597], [0.3319, 0.3319, 0.0044], [0.8542, 0.8542, 0.4373], [0.1458, 0.1458, 0.5627], [0.0000, 0.0000, 0.0000]],
  "space_group": "No. 166",
  "formation_energy_ev_per_atom": -0.0727,
  "mass_density_g_cm3": 7.454,
  "vol_a3_per_atom": 23.69
}



No. 3
{
  "formula": "La6Nd3Cd",
  "functional": "PBE",
  "state": "optimized geometry",
  "lattice": [[-4.1475, -0.8364, 3.5446], [7.0516, -1.7502, 7.8380], [-0.0727, 11.9073, 2.7249]],
  "species": ["La", "La", "La", "La", "La", "La", "La", "La", "La", "La", "La", "La", "Nd", "Nd", "Nd", "Nd", "Nd", "Nd", "Cd", "Cd"],
  "frac_coords": [[0.0000, 0.0712, 0.7499], [0.5000, 0.1705, 0.9194], [0.0000, 0.6706, 0.5806], [0.5000, 0.2131, 0.6123], [0.5000, 0.4288, 0.2499], [0.5000, 0.5712, 0.7501], [0.5000, 0.7869, 0.3877], [0.5000, 0.8295, 0.0806], [0.0000, 0.9288, 0.2501], [0.0000, 0.7132, 0.8878], [0.0000, 0.3294, 0.4194], [0.0000, 0.2868, 0.1122], [0.5000, 0.1186, 0.2815], [0.5000, 0.5000, 0.0000], [0.0000, 0.0000, 0.5000], [0.5000, 0.8814, 0.7185], [0.0000, 0.3814, 0.7815], [0.0000, 0.6186, 0.2185], [0.5000, 0.5000, 0.5000], [0.0000, 0.0000, 0.0000]],
  "space_group": "No. 58",
  "formation_energy_ev_per_atom": 0.0389,
  "mass_density_g_cm3": 6.354,
  "vol_a3_per_atom": 36.03,
  "de_polymorph_ev_per_atom": 0.071
}



No. 4
{
  "formula": "Rb3Pm3TcO8",
  "functional": "PBE",
  "state": "optimized geometry",
  "lattice": [[-6.8139, 1.3334, -0.9996], [2.1537, -6.5737, 1.1633], [0.0564, 4.8366, 6.0679]],
  "species": ["O", "O", "O", "O", "O", "O", "O", "O", "Pm", "Pm", "Pm", "Rb", "Rb", "Rb", "Tc"],
  "frac_coords": [[0.2439, 0.0393, 0.3348], [0.7561, 0.9607, 0.6652], [0.2046, 0.4092, 0.6653], [0.7954, 0.5908, 0.3347], [0.2740, 0.5480, 0.3220], [0.2046, 0.9607, 0.6652], [0.7954, 0.0393, 0.3348], [0.7260, 0.4520, 0.6780], [0.5000, 0.0000, 0.5000], [0.0000, 0.5000, 0.5000], [0.5000, 0.5000, 0.5000], [0.0000, 0.5000, 0.0000], [0.0000, 0.0000, 0.0000], [0.5000, 0.5000, 0.0000], [0.0000, 0.0000, 0.5000]],
  "space_group": "No. 166",
  "raw_formation_energy_ev_per_atom": -2.337,
  "mass_density_g_cm3": 5.402,
  "vol_a3_per_atom": 18.80
}



No. 5
{
  "formula": "HfRu",
  "functional": "PBE",
  "state": "optimized geometry",
  "lattice": [[5.8243, 0.0000, 0.0000], [0.0000, 5.8243, 0.0000], [0.0000, 0.0000, 5.8243]],
  "species": ["Hf", "Hf", "Hf", "Hf", "Ru", "Ru", "Ru", "Ru"],
  "frac_coords": [[0.0000, 0.5000, 0.5000], [0.0000, 0.0000, 0.0000], [0.5000, 0.0000, 0.5000], [0.5000, 0.5000, 0.0000], [0.7500, 0.2500, 0.7500], [0.2500, 0.7500, 0.7500], [0.7500, 0.7500, 0.2500], [0.2500, 0.2500, 0.2500]],
  "space_group": "No. 216",
  "formation_energy_ev_per_atom": 0.8800,
  "mass_density_g_cm3": 9.399,
  "vol_a3_per_atom": 24.70
}



No. 6
{
  "formula": "FeTcP2Cl",
  "functional": "PBE",
  "state": "optimized geometry",
  "lattice": [[4.5210, 0.0000, 0.0000], [0.0000, 4.5210, 0.0000], [0.0000, 0.0000, 5.1174]],
  "species": ["P", "P", "Cl", "Fe", "Tc"],
  "frac_coords": [[0.0000, 0.5000, 0.0000], [0.5000, 0.0000, 0.0000], [0.0000, 0.0000, 0.5000], [0.5000, 0.5000, 0.5000], [0.0000, 0.0000, 0.0000]],
  "space_group": "No. 123",
  "raw_formation_energy_ev_per_atom": 0.743,
  "mass_density_g_cm3": 3.989,
  "vol_a3_per_atom": 20.92,
  "de_polymorph_ev_per_atom": 0.000
}



No. 7
{
  "formula": "Th2BeHg",
  "functional": "PBE",
  "state": "optimized geometry",
  "lattice": [[3.3558, 0.0000, 0.0000], [1.6779, 2.9062, 0.0000], [1.6779, 0.9687, 11.4051]],
  "species": ["Th", "Th", "Be", "Hg"],
  "frac_coords": [[0.0869, 0.0869, 0.7394], [0.9131, 0.9131, 0.2606], [0.0000, 0.0000, 0.0000], [0.5000, 0.5000, 0.5000]],
  "space_group": "No. 166",
  "formation_energy_ev_per_atom": 0.6565,
  "mass_density_g_cm3": 10.057,
  "vol_a3_per_atom": 27.81,
  "de_polymorph_ev_per_atom": 0.662
}



No. 8
{
  "formula": "Nd2HgGe4Pt3",
  "functional": "PBE",
  "state": "optimized geometry",
  "lattice": [[-2.9591, 0.6810, -3.1874], [-3.2517, -0.3225, 2.9500], [0.5268, 10.2517, 1.7014]],
  "species": ["Ge", "Ge", "Ge", "Ge", "Pt", "Pt", "Pt", "Nd", "Nd", "Hg"],
  "frac_coords": [[0.0000, 0.5000, 0.3534], [0.5000, 0.0000, 0.6466], [0.0000, 0.0000, 0.0000], [0.5000, 0.5000, 0.0000], [0.0000, 0.5000, 0.1179], [0.0000, 0.0000, 0.5000], [0.5000, 0.0000, 0.8821], [0.0000, 0.5000, 0.7553], [0.5000, 0.0000, 0.2447], [0.5000, 0.5000, 0.5000]],
  "space_group": "No. 115",
  "formation_energy_ev_per_atom": -0.7640,
  "mass_density_g_cm3": 11.239,
  "vol_a3_per_atom": 20.17
}



No. 9
{
  "formula": "MgCoPb2",
  "functional": "PBE",
  "state": "optimized geometry",
  "lattice": [[5.7592, 0.0089, 0.0000], [2.6168, 5.1304, 0.0000], [-4.1880, -2.5696, 3.0043]],
  "species": ["Co", "Pb", "Pb", "Mg"],
  "frac_coords": [[0.5000, 0.5000, 0.0000], [0.0000, 0.0000, 0.0000], [0.2500, 0.7500, 0.5000], [0.7500, 0.2500, 0.5000]],
  "space_group": "No. 119",
  "formation_energy_ev_per_atom": 0.3940,
  "mass_density_g_cm3": 9.316,
  "vol_a3_per_atom": 22.17
}



No. 10
{
  "formula": "Mg2PaSn4",
  "functional": "PBE",
  "state": "optimized geometry",
  "lattice": [[4.4916, 0.0000, 0.0000], [0.0000, 6.3759, -1.0384], [0.0000, 1.0101, 6.3804]],
  "species": ["Mg", "Mg", "Sn", "Sn", "Sn", "Sn", "Pa"],
  "frac_coords": [[0.0000, 0.2125, 0.7875], [0.0000, 0.7875, 0.2125], [0.5000, 0.0000, 0.5000], [0.0000, 0.7448, 0.7448], [0.5000, 0.5000, 0.0000], [0.0000, 0.2552, 0.2552], [0.5000, 0.5000, 0.5000]],
  "space_group": "No. 65",
  "formation_energy_ev_per_atom": -0.1272,
  "mass_density_g_cm3": 6.684,
  "vol_a3_per_atom": 26.78
}



No. 11
{
  "formula": "CuSb2Os",
  "functional": "PBE",
  "state": "optimized geometry",
  "lattice": [[4.3890, 0.0000, 0.0000], [0.0000, 3.4110, -0.0073], [0.0000, 1.7103, 4.9402]],
  "species": ["Cu", "Sb", "Sb", "Os"],
  "frac_coords": [[0.0000, 0.7161, 0.4516], [0.0000, 0.9781, 0.9198], [0.5000, 0.2618, 0.3461], [0.5000, 0.5439, 0.7824]],
  "space_group": "No. 6",
  "raw_formation_energy_ev_per_atom": 0.298,
  "mass_density_g_cm3": 11.157,
  "vol_a3_per_atom": 18.50,
  "de_polymorph_ev_per_atom": 0.000
}



No. 12
{
  "formula": "CsK2Pb2",
  "functional": "PBE",
  "state": "optimized geometry",
  "lattice": [[4.9883, 0.0000, 0.0000], [0.0000, 7.3140, 0.2843], [-2.4941, -1.8152, 7.2118]],
  "species": ["Pb", "Pb", "K", "K", "Cs"],
  "frac_coords": [[0.2812, 0.9028, 0.5624], [0.7188, 0.0972, 0.4376], [0.6532, 0.5756, 0.3064], [0.3468, 0.4244, 0.6936], [0.0000, 0.0000, 0.0000]],
  "space_group": "No. 12",
  "formation_energy_ev_per_atom": -0.1234,
  "mass_density_g_cm3": 3.909,
  "vol_a3_per_atom": 53.14,
  "de_polymorph_ev_per_atom": 0.000
}



No. 13
{
  "formula": "LaPm3Sb4",
  "functional": "PBE",
  "state": "optimized geometry",
  "lattice": [[6.4003, 0.0000, 0.0000], [0.0000, 6.4003, 0.0000], [0.0000, 0.0000, 6.4003]],
  "species": ["Sb", "Sb", "Sb", "Sb", "Pm", "Pm", "Pm", "La"],
  "frac_coords": [[0.5000, 0.0000, 0.0000], [0.5000, 0.5000, 0.5000], [0.0000, 0.5000, 0.0000], [0.0000, 0.0000, 0.5000], [0.5000, 0.0000, 0.5000], [0.0000, 0.5000, 0.5000], [0.5000, 0.5000, 0.0000], [0.0000, 0.0000, 0.0000]],
  "space_group": "No. 221",
  "raw_formation_energy_ev_per_atom": -1.208,
  "mass_density_g_cm3": 6.720,
  "vol_a3_per_atom": 32.77
}



No. 14
{
  "formula": "PtPbWCl2",
  "functional": "PBE",
  "state": "optimized geometry",
  "lattice": [[4.8386, 0.0000, 0.0000], [0.0000, 5.1358, 0.0000], [0.0000, 0.0000, 4.8386]],
  "species": ["Pt", "Pb", "W", "Cl", "Cl"],
  "frac_coords": [[0.0000, 0.0000, 0.0000], [0.5000, 0.5000, 0.5000], [0.0000, 0.5000, 0.0000], [0.5000, 0.0000, 0.0000], [0.0000, 0.0000, 0.5000]],
  "space_group": "No. 123",
  "raw_formation_energy_ev_per_atom": 0.848,
  "mass_density_g_cm3": 9.074,
  "vol_a3_per_atom": 24.05
}



No. 15
{
  "formula": "KLi2Be",
  "functional": "PBE",
  "state": "optimized geometry",
  "lattice": [[6.6096, -1.1085, -0.6544], [5.7817, 3.3893, -0.6544], [5.7817, 1.0642, 3.2838]],
  "species": ["K", "Be", "Li", "Li"],
  "frac_coords": [[0.7555, 0.7555, 0.7555], [0.5710, 0.5710, 0.5710], [0.9396, 0.9396, 0.9396], [0.2340, 0.2340, 0.2340]],
  "space_group": "No. 160",
  "formation_energy_ev_per_atom": 0.4520,
  "mass_density_g_cm3": 0.917,
  "vol_a3_per_atom": 28.05
}



No. 16
{
  "formula": "Tl2MoSe",
  "functional": "PBE",
  "state": "optimized geometry",
  "lattice": [[-3.2118, -2.0070, 0.1286], [2.0107, -3.2097, 0.1233], [0.0713, 0.2823, 6.1881]],
  "species": ["Mo", "Tl", "Tl", "Se"],
  "frac_coords": [[0.5000, 0.5000, 0.2500], [0.0000, 0.0000, 0.0097], [0.0000, 0.0000, 0.4903], [0.5000, 0.5000, 0.7500]],
  "space_group": "No. 123",
  "raw_formation_energy_ev_per_atom": 0.670,
  "mass_density_g_cm3": 10.895,
  "vol_a3_per_atom": 22.24,
  "de_polymorph_ev_per_atom": 0.593
}



No. 17
{
  "formula": "YZnB",
  "functional": "PBE",
  "state": "optimized geometry",
  "lattice": [[-5.4401, 1.1008, -0.1826], [0.6909, -1.2589, 3.5380], [2.2638, 4.2817, 1.4672]],
  "species": ["Y", "Y", "Zn", "Zn", "B", "B"],
  "frac_coords": [[0.2447, 0.7206, 0.3616], [0.7693, 0.4474, 0.7446], [0.7804, 0.0364, 0.2603], [0.2337, 0.1314, 0.8459], [0.4413, 0.7001, 0.9097], [0.5726, 0.4678, 0.1966]],
  "space_group": "No. 2",
  "formation_energy_ev_per_atom": -0.2327,
  "mass_density_g_cm3": 5.534,
  "vol_a3_per_atom": 16.52,
  "de_polymorph_ev_per_atom": 0.141
}



No. 18
{
  "formula": "PrTh2MoC4",
  "functional": "PBE",
  "state": "optimized geometry",
  "lattice": [[3.6712, 0.0000, 0.0000], [-1.8356, 6.2522, 0.0000], [0.0000, 0.0000, 12.7838]],
  "species": ["Th", "Th", "Th", "Th", "C", "C", "C", "C", "C", "C", "C", "C", "Mo", "Mo", "Pr", "Pr"],
  "frac_coords": [[0.3689, 0.7379, 0.5405], [0.6311, 0.2621, 0.4595], [0.3689, 0.7379, 0.9595], [0.6311, 0.2621, 0.0405], [0.7359, 0.4717, 0.8689], [0.0000, 0.0000, 0.5000], [0.2641, 0.5283, 0.1311], [0.0000, 0.0000, 0.0000], [0.2641, 0.5283, 0.3689], [0.4145, 0.8291, 0.7500], [0.5855, 0.1709, 0.2500], [0.7359, 0.4717, 0.6311], [0.8325, 0.6650, 0.7500], [0.1675, 0.3350, 0.2500], [0.8987, 0.7974, 0.2500], [0.1013, 0.2026, 0.7500]],
  "space_group": "No. 63",
  "formation_energy_ev_per_atom": -0.0477,
  "mass_density_g_cm3": 8.477,
  "vol_a3_per_atom": 18.34
}



No. 19
{
  "formula": "LaAlHg",
  "functional": "PBE",
  "state": "optimized geometry",
  "lattice": [[-4.2504, -1.6046, -4.8499], [-3.2083, -1.5906, 3.3380], [-3.7776, 8.5974, 0.4661]],
  "species": ["Al", "Al", "Al", "Al", "La", "La", "La", "La", "Hg", "Hg", "Hg", "Hg"],
  "frac_coords": [[0.3547, 0.2500, 0.0837], [0.6453, 0.7500, 0.9163], [0.8547, 0.2500, 0.4163], [0.1453, 0.7500, 0.5837], [0.3306, 0.2500, 0.4193], [0.8306, 0.2500, 0.0807], [0.6694, 0.7500, 0.5807], [0.1694, 0.7500, 0.9193], [0.9776, 0.2500, 0.7158], [0.4776, 0.2500, 0.7842], [0.5224, 0.7500, 0.2158], [0.0224, 0.7500, 0.2842]],
  "space_group": "No. 62",
  "formation_energy_ev_per_atom": -0.3290,
  "mass_density_g_cm3": 7.958,
  "vol_a3_per_atom": 25.49
}



No. 20
{
  "formula": "ScRuW2",
  "functional": "PBE",
  "state": "optimized geometry",
  "lattice": [[2.8503, 0.0028, 0.0000], [-0.0137, 2.8503, 0.0000], [0.0000, 0.0000, 8.2769]],
  "species": ["W", "W", "Sc", "Ru"],
  "frac_coords": [[0.0000, 0.0000, 0.4720], [0.0000, 0.0000, 0.0280], [0.5000, 0.5000, 0.7500], [0.5000, 0.5000, 0.2500]],
  "space_group": "No. 65",
  "formation_energy_ev_per_atom": 0.1935,
  "mass_density_g_cm3": 12.686,
  "vol_a3_per_atom": 16.81,
  "de_polymorph_ev_per_atom": 0.245
}



No. 21
{
  "formula": "GaFeIrOs2",
  "functional": "PBE",
  "state": "optimized geometry",
  "lattice": [[4.4188, 0.0000, 0.0000], [0.0000, 4.5615, 0.0000], [0.0000, 0.0000, 4.4188]],
  "species": ["Os", "Os", "Ir", "Ga", "Fe"],
  "frac_coords": [[0.5000, 0.0000, 0.0000], [0.0000, 0.0000, 0.5000], [0.0000, 0.5000, 0.0000], [0.5000, 0.5000, 0.5000], [0.0000, 0.0000, 0.0000]],
  "space_group": "No. 123",
  "formation_energy_ev_per_atom": 1.5961,
  "mass_density_g_cm3": 13.018,
  "vol_a3_per_atom": 17.81
}



No. 22
{
  "formula": "Na4Er3RuO8",
  "functional": "PBE",
  "state": "optimized geometry",
  "lattice": [[-4.3683, 4.6649, -1.6121], [-2.0261, -3.7114, -5.2501], [-0.0786, -2.6437, 6.0373]],
  "species": ["Na", "Na", "Na", "Na", "O", "O", "O", "O", "O", "O", "O", "O", "Er", "Er", "Er", "Ru"],
  "frac_coords": [[0.5000, 0.0000, 0.0000], [0.0000, 0.0000, 0.0000], [0.0000, 0.0000, 0.5000], [0.5000, 0.0000, 0.5000], [0.2630, 0.2890, 0.5260], [0.2516, 0.2868, 0.0192], [0.7676, 0.2868, 0.0192], [0.2324, 0.7132, 0.4648], [0.7484, 0.7132, 0.9808], [0.7676, 0.2868, 0.5352], [0.7370, 0.7110, 0.4740], [0.2324, 0.7132, 0.9808], [0.5000, 0.5000, 0.0000], [0.5000, 0.5000, 0.5000], [0.0000, 0.5000, 0.5000], [0.0000, 0.5000, 0.0000]],
  "space_group": "No. 166",
  "raw_formation_energy_ev_per_atom": -2.357,
  "mass_density_g_cm3": 6.527,
  "vol_a3_per_atom": 13.08
}



No. 23
{
  "formula": "TbEr3As4",
  "functional": "PBE",
  "state": "optimized geometry",
  "lattice": [[-2.3126, -3.3849, -4.0887], [-1.1670, -4.0265, 3.9935], [-5.1781, 2.4192, 0.9260]],
  "species": ["As", "As", "As", "As", "Er", "Er", "Er", "Tb"],
  "frac_coords": [[0.0000, 0.5000, 0.0000], [0.0000, 0.0000, 0.5000], [0.5000, 0.0000, 0.0000], [0.5000, 0.5000, 0.5000], [0.0000, 0.5000, 0.5000], [0.5000, 0.0000, 0.5000], [0.5000, 0.5000, 0.0000], [0.0000, 0.0000, 0.0000]],
  "space_group": "No. 221",
  "formation_energy_ev_per_atom": -1.5274,
  "mass_density_g_cm3": 8.217,
  "vol_a3_per_atom": 24.26,
  "de_polymorph_ev_per_atom": 0.000
}